Here is Er2ZrIn after structural relaxation from Alexandria. Energies are from GGA-PBE.

Cell and atoms, written as extended XYZ:
```
4
Lattice="-2.085 2.364 1.390 -3.389 -0.122 -0.605 -3.121 -5.379 8.739" Properties=species:S:1:pos:R:3 pbc="T T T"
Er -2.795 -3.840 6.609
Er -2.150 -0.789 2.387
Zr -4.298 -1.570 4.764
In -3.650 1.493 0.526
```

For the distance to the lowest polymorph of the same formula, the calculation gives 0.0797 eV/atom. The value obtained for the formation energy is -0.124 eV per atom.